[1]
A relaxed Cs3HgH crystal. Source: Alexandria via LeMat-Bulk, functional PBE.

```
Cs3HgH
1.0
-1.4751 -3.7719 2.7147
6.9042 -5.4791 0.5242
6.5287 4.7381 10.1362
Hg Cs H
2 6 2
Direct
0.8192 0.9305 0.1366
0.8693 0.8305 0.9224
0.9917 0.5851 0.4345
0.2174 0.1341 0.3190
0.6962 0.1754 0.6246
0.4712 0.6266 0.7402
0.4938 0.5817 0.1328
0.1947 0.1792 0.9262
0.5989 0.3707 0.3850
0.0886 0.3898 0.6741
```

Values from the calculation:
E above lowest polymorph, meV per atom: 0
Crystal system: monoclinic
VASP energy, eV/atom: -1.3670



[2]
A relaxed Sc2TaTiV crystal. Source: Alexandria via LeMat-Bulk, functional PBE.

```
Sc2TaTiV
1.0
-4.3083 2.0222 0.2382
-1.5926 -3.6412 2.1065
1.1398 1.9333 4.2037
Sc Ti Ta V
2 1 1 1
Direct
0.0000 0.0000 0.5000
0.5000 0.0000 0.0000
0.0000 0.5000 0.0000
0.5000 0.5000 0.5000
0.0000 0.0000 0.0000
```

Values from the calculation:
ΔH_f (0 K), meV/atom: 897
Crystal system: tetragonal
VASP energy, eV/atom: -7.4084



[3]
A relaxed Pr3DyTm7 crystal. Source: Alexandria via LeMat-Bulk, functional PBE.

```
Pr3DyTm7
1.0
-1.9285 1.8935 8.2267
-2.6099 -6.4595 0.8749
6.7853 1.2512 1.3026
Tm Dy Pr
7 1 3
Direct
0.1226 0.6656 0.8328
0.1236 0.6667 0.3333
0.1226 0.1672 0.3344
0.1226 0.1672 0.8328
0.4433 0.8327 0.1673
0.4433 0.3346 0.1673
0.4433 0.8327 0.6654
0.4432 0.3333 0.6667
0.7836 0.9998 0.4999
0.7836 0.5001 0.4999
0.7836 0.5001 0.0002
```

Values from the calculation:
E above lowest polymorph, meV per atom: 52
ΔH_f (0 K), meV/atom: 176
Crystal system: trigonal
VASP energy, eV/atom: -4.3912



[4]
A relaxed Th2HOs crystal. Source: Alexandria via LeMat-Bulk, functional PBE.

```
Th2HOs
1.0
4.1896 0.0000 0.0000
2.0948 3.6283 0.0000
2.0948 1.2094 5.7712
H Os Th
1 1 2
Direct
0.5000 0.5000 0.5000
0.0000 0.0000 0.0000
0.7527 0.7527 0.7419
0.2473 0.2473 0.2581
```

Values from the calculation:
E above lowest polymorph, meV per atom: 0
Crystal system: trigonal
VASP energy, eV/atom: -7.6643